# ZnRu2W, PBEsol geometry, DFT meta-GGA SCAN
# total moment: 0.00 μB per formula unit
# DOS(E_F): 2.94 states/eV per cell
# E_form: 66 kJ/mol of formula units
# VASP energy: -38.04 eV/atom
data_ZnRu2W
_cell_length_a 2.673
_cell_length_b 4.248
_cell_length_c 4.947
_cell_angle_alpha 90.00
_cell_angle_beta 95.20
_cell_angle_gamma 90.00
_symmetry_space_group_name_H-M 'P 1'
_symmetry_Int_Tables_number 1
loop_
_symmetry_equiv_pos_as_xyz
'x,y,z'
loop_
_atom_site_label
_atom_site_type_symbol
_atom_site_fract_x
_atom_site_fract_y
_atom_site_fract_z
Zn1 Zn 0.000 0.500 0.500
Ru1 Ru 0.245 0.000 0.260
Ru2 Ru 0.755 0.000 0.740
W1 W 0.500 0.500 0.000